An optimized crystal structure of Li2BiC. Source: the Alexandria database, functional PBE.

Values from the calculation:
**Offset from the most stable computed form**: 0.0 meV/atom
**Fermi-level density of states**: 6.359 states/eV per cell

Cell and atoms, written as CIF:
```
data_Li2BiC
_symmetry_space_group_name_H-M 'I -4 2 d'
_symmetry_Int_Tables_number 122
_symmetry_space_group_name_Hall 'I -4 2bw'
_cell_length_a 3.818
_cell_length_b 3.818
_cell_length_c 17.031
_cell_angle_alpha 90.00
_cell_angle_beta 90.00
_cell_angle_gamma 90.00
loop_
_atom_site_label
_atom_site_fract_x
_atom_site_fract_y
_atom_site_fract_z
Li1 0.172 0.750 0.125
Bi1 0.000 0.000 0.500
C1 0.000 0.000 0.000
```

An optimized crystal structure of LiBiC2. Source: the Alexandria database, functional PBE.

Values from the calculation:
**Final energy**: -4.30 eV per atom
**Fermi-level density of states**: 3.448 states/eV per cell

Cell and atoms, written as CIF:
```
data_LiBiC2
_symmetry_space_group_name_H-M 'I -4 2 d'
_symmetry_Int_Tables_number 122
_symmetry_space_group_name_Hall 'I -4 2bw'
_cell_length_a 5.379
_cell_length_b 5.379
_cell_length_c 9.824
_cell_angle_alpha 90.00
_cell_angle_beta 90.00
_cell_angle_gamma 90.00
loop_
_atom_site_label
_atom_site_fract_x
_atom_site_fract_y
_atom_site_fract_z
Li1 0.000 0.000 0.000
Bi1 0.000 0.000 0.500
C1 0.244 0.250 0.125
```

An optimized crystal structure of LiBiC3. Source: the Alexandria database, functional PBE.

Values from the calculation:
**Offset from the most stable computed form**: 379.7 meV/atom
**Fermi-level density of states**: 5.256 states/eV per cell

Cell and atoms, written as CIF:
```
data_LiBiC3
_symmetry_space_group_name_H-M 'P m -3 m'
_symmetry_Int_Tables_number 221
_symmetry_space_group_name_Hall '-P 4 2 3'
_cell_length_a 4.578
_cell_length_b 4.578
_cell_length_c 4.578
_cell_angle_alpha 90.00
_cell_angle_beta 90.00
_cell_angle_gamma 90.00
loop_
_atom_site_label
_atom_site_fract_x
_atom_site_fract_y
_atom_site_fract_z
Li1 0.000 0.000 0.000
Bi1 0.500 0.500 0.500
C1 0.000 0.500 0.500
```

An optimized crystal structure of LiBiC3. Source: the Alexandria database, functional PBE.

Values from the calculation:
**Offset from the most stable computed form**: 0.0 meV/atom
**Fermi-level density of states**: 2.704 states/eV per cell

Cell and atoms, written as CIF:
```
data_LiBiC3
_symmetry_space_group_name_H-M 'P m -3 m'
_symmetry_Int_Tables_number 221
_symmetry_space_group_name_Hall '-P 4 2 3'
_cell_length_a 3.939
_cell_length_b 3.939
_cell_length_c 3.939
_cell_angle_alpha 90.00
_cell_angle_beta 90.00
_cell_angle_gamma 90.00
loop_
_atom_site_label
_atom_site_fract_x
_atom_site_fract_y
_atom_site_fract_z
Li1 0.000 0.000 0.000
Bi1 0.500 0.500 0.500
C1 0.000 0.000 0.500
```

An optimized crystal structure of Li2BiC. Source: the Alexandria database, functional PBE.

Values from the calculation:
**Offset from the most stable computed form**: 99.0 meV/atom
**Fermi-level density of states**: 7.672 states/eV per cell

Cell and atoms, written as CIF:
```
data_Li2BiC
_symmetry_space_group_name_H-M 'F m -3 m'
_symmetry_Int_Tables_number 225
_symmetry_space_group_name_Hall '-F 4 2 3'
_cell_length_a 6.282
_cell_length_b 6.282
_cell_length_c 6.282
_cell_angle_alpha 90.00
_cell_angle_beta 90.00
_cell_angle_gamma 90.00
loop_
_atom_site_label
_atom_site_fract_x
_atom_site_fract_y
_atom_site_fract_z
Li1 0.250 0.250 0.250
Bi1 0.000 0.000 0.000
C1 0.000 0.000 0.500
```

An optimized crystal structure of Li2BiC2. Source: the Alexandria database, functional PBE.

Values from the calculation:
**Offset from the most stable computed form**: 128.0 meV/atom
**Fermi-level density of states**: 4.878 states/eV per cell

Cell and atoms, written as CIF:
```
data_Li2BiC2
_symmetry_space_group_name_H-M 'I 4/m m m'
_symmetry_Int_Tables_number 139
_symmetry_space_group_name_Hall '-I 4 2'
_cell_length_a 4.057
_cell_length_b 4.057
_cell_length_c 9.209
_cell_angle_alpha 90.00
_cell_angle_beta 90.00
_cell_angle_gamma 90.00
loop_
_atom_site_label
_atom_site_fract_x
_atom_site_fract_y
_atom_site_fract_z
Li1 0.000 0.500 0.250
Bi1 0.000 0.000 0.000
C1 0.000 0.000 0.428
```

An optimized crystal structure of Li2BiC2. Source: the Alexandria database, functional PBE.

Values from the calculation:
**Offset from the most stable computed form**: 0.0 meV/atom
**Fermi-level density of states**: 3.762 states/eV per cell

Cell and atoms, written as CIF:
```
data_Li2BiC2
_symmetry_space_group_name_H-M 'P 4/m b m'
_symmetry_Int_Tables_number 127
_symmetry_space_group_name_Hall '-P 4 2ab'
_cell_length_a 6.354
_cell_length_b 6.354
_cell_length_c 3.646
_cell_angle_alpha 90.00
_cell_angle_beta 90.00
_cell_angle_gamma 90.00
loop_
_atom_site_label
_atom_site_fract_x
_atom_site_fract_y
_atom_site_fract_z
Li1 0.146 0.354 0.000
Bi1 0.000 0.000 0.500
C1 0.074 0.574 0.500
```

An optimized crystal structure of LiMnBiC2. Source: the Alexandria database, functional PBE.

Values from the calculation:
**Final energy**: -4.44 eV per atom
**Fermi-level density of states**: 6.701 states/eV per cell

Cell and atoms, written as CIF:
```
data_LiMnBiC2
_symmetry_space_group_name_H-M 'P 4/m m m'
_symmetry_Int_Tables_number 123
_symmetry_space_group_name_Hall '-P 4 2'
_cell_length_a 3.906
_cell_length_b 3.906
_cell_length_c 4.216
_cell_angle_alpha 90.00
_cell_angle_beta 90.00
_cell_angle_gamma 90.00
loop_
_atom_site_label
_atom_site_fract_x
_atom_site_fract_y
_atom_site_fract_z
Li1 0.000 0.000 0.000
Mn1 0.000 0.000 0.500
Bi1 0.500 0.500 0.500
C1 0.000 0.500 0.000
```

Number 1: volume 15.52 Å³ per atom. Number 2: volume 17.76 Å³ per atom. Number 3: volume 19.19 Å³ per atom. Number 4: volume 12.23 Å³ per atom. Number 5: volume 15.50 Å³ per atom. Number 6: volume 15.16 Å³ per atom. Number 7: volume 14.72 Å³ per atom. Number 8: volume 12.86 Å³ per atom.